#one
## NaLaP2Cl (PBE-GGA)

Data for a relaxed structure of NaLaP2Cl.

Unit cell a=5.6028 b=5.6028 c=5.6378 alpha=90.00 beta=90.00 gamma=90.00
Site moments in Bohr magnetons follow the coordinates.
Sites, in units of the cell vectors:
P 0.0000 0.5000 0.0000  0.16
P 0.5000 0.0000 0.0000  0.16
Cl 0.0000 0.0000 0.5000  0.04
Na 0.5000 0.5000 0.5000  0.00
La 0.0000 0.0000 0.0000  0.02

#two
## NaLaP2Cl (PBE-GGA)

Data for a relaxed structure of NaLaP2Cl.

Unit cell a=4.8505 b=4.8505 c=4.9930 alpha=90.00 beta=90.00 gamma=90.00
Sites, in units of the cell vectors:
P 0.0000 0.5000 0.0000
P 0.5000 0.0000 0.0000
Cl 0.0000 0.0000 0.5000
Na 0.0000 0.0000 0.0000
La 0.5000 0.5000 0.5000

Least stable = #two

#one
## NaLaSCl2 (PBE-GGA)

Data for a relaxed structure of NaLaSCl2.

Unit cell a=5.6246 b=5.6246 c=5.5066 alpha=90.00 beta=90.00 gamma=90.00
Sites, in units of the cell vectors:
Na 0.5000 0.5000 0.5000
S 0.0000 0.0000 0.5000
Cl 0.0000 0.5000 0.0000
Cl 0.5000 0.0000 0.0000
La 0.0000 0.0000 0.0000

#two
## NaLaSCl2 (PBE-GGA)

Data for a relaxed structure of NaLaSCl2.

Unit cell a=4.7476 b=4.7476 c=5.3085 alpha=90.00 beta=90.00 gamma=90.00
Sites, in units of the cell vectors:
Na 0.0000 0.0000 0.0000
S 0.0000 0.0000 0.5000
Cl 0.0000 0.5000 0.0000
Cl 0.5000 0.0000 0.0000
La 0.5000 0.5000 0.5000

Least stable = #two

#one
## LaNbCl2 (PBE-GGA)

Data for a relaxed structure of LaNbCl2.

Unit cell a=9.6073 b=9.6073 c=9.6073 alpha=20.05 beta=20.05 gamma=20.05
Sites, in units of the cell vectors:
Nb 0.0000 0.0000 0.0000
Cl 0.9113 0.9113 0.9113
Cl 0.0887 0.0887 0.0887
La 0.5000 0.5000 0.5000

#two
## LaNbCl2 (PBE-GGA)

Data for a relaxed structure of LaNbCl2.

Unit cell a=4.7602 b=4.7602 c=9.3536 alpha=75.26 beta=75.26 gamma=90.00
Site moments in Bohr magnetons follow the coordinates.
Sites, in units of the cell vectors:
Nb 0.5000 0.5000 0.0000  1.09
Nb 0.2500 0.7500 0.5000  1.08
Cl 0.5805 0.1250 0.2500  -0.01
Cl 0.1695 0.6250 0.2500  -0.01
Cl 0.3750 0.4195 0.7500  -0.01
Cl 0.8750 0.8305 0.7500  -0.01
La 0.0000 0.0000 0.0000  0.05
La 0.7500 0.2500 0.5000  0.05

Least stable = #two

#one
## LaNbPCl2 (PBE-GGA)

Data for a relaxed structure of LaNbPCl2.

Unit cell a=5.3318 b=5.3318 c=5.8473 alpha=90.00 beta=90.00 gamma=90.00
Site moments in Bohr magnetons follow the coordinates.
Sites, in units of the cell vectors:
P 0.0000 0.0000 0.5000  0.23
Nb 0.5000 0.5000 0.5000  -2.84
Cl 0.0000 0.5000 0.0000  -0.01
Cl 0.5000 0.0000 0.0000  -0.01
La 0.0000 0.0000 0.0000  0.03

#two
## LaNbPCl2 (PBE-GGA)

Data for a relaxed structure of LaNbPCl2.

Unit cell a=4.8209 b=4.8209 c=4.9887 alpha=90.00 beta=90.00 gamma=90.00
Sites, in units of the cell vectors:
P 0.0000 0.0000 0.5000
Nb 0.0000 0.0000 0.0000
Cl 0.0000 0.5000 0.0000
Cl 0.5000 0.0000 0.0000
La 0.5000 0.5000 0.5000

Least stable = #one

#one
## LaNdCl6 (PBE-GGA)

Data for a relaxed structure of LaNdCl6.

Unit cell a=6.9991 b=7.0528 c=9.6724 alpha=72.00 beta=51.47 gamma=60.25
Sites, in units of the cell vectors:
La 0.0000 0.0000 0.0000
Nd 0.5000 0.0000 0.5000
Cl 0.0202 0.7104 0.2718
Cl 0.7306 0.2896 0.2718
Cl 0.2694 0.7104 0.7282
Cl 0.9798 0.2896 0.7282
Cl 0.4845 0.0000 0.2206
Cl 0.5155 0.0000 0.7794

#two
## LaNdCl6 (PBE-GGA)

Data for a relaxed structure of LaNdCl6.

Unit cell a=7.0002 b=6.9993 c=7.6115 alpha=62.60 beta=62.61 gamma=59.97
Sites, in units of the cell vectors:
La 0.5000 0.5000 0.5000
Nd 0.0000 0.0000 0.0000
Cl 0.1007 0.3945 0.7520
Cl 0.7529 0.1006 0.7521
Cl 0.6057 0.2471 0.2480
Cl 0.2471 0.8994 0.2479
Cl 0.8993 0.6055 0.2480
Cl 0.3943 0.7529 0.7520

Least stable = #one

#one
## LaNdCl2 (PBE-GGA)

Data for a relaxed structure of LaNdCl2.

Unit cell a=3.6488 b=3.6488 c=9.0723 alpha=78.40 beta=78.40 gamma=60.00
Sites, in units of the cell vectors:
La 0.6662 0.6662 0.0014
Nd 0.5004 0.5004 0.4987
Cl 0.0845 0.0845 0.7465
Cl 0.2488 0.2488 0.2535

#two
## LaNdCl2 (PBE-GGA)

Data for a relaxed structure of LaNdCl2.

Unit cell a=3.6652 b=3.6652 c=10.1453 alpha=79.59 beta=79.59 gamma=60.00
Site moments in Bohr magnetons follow the coordinates.
Sites, in units of the cell vectors:
Cl 0.0982 0.0982 0.7054  0.00
Cl 0.9018 0.9018 0.2946  0.00
Nd 0.5000 0.5000 0.5000  -0.01
La 0.0000 0.0000 0.0000  0.24

Least stable = #two

#one
## LaNdCl (PBE-GGA)

Data for a relaxed structure of LaNdCl.

Unit cell a=5.9585 b=10.1953 c=10.1268 alpha=85.45 beta=72.89 gamma=73.01
Sites, in units of the cell vectors:
Cl 0.0015 0.8517 0.1498
Cl 0.5755 0.1367 0.1557
Cl 0.1321 0.6367 0.6557
Cl 0.8663 0.3430 0.3623
Cl 0.4284 0.8430 0.8623
Cl 0.9969 0.3517 0.6498
Nd 0.5633 0.9596 0.3895
Nd 0.4354 0.6117 0.0412
Nd 0.1692 0.7674 0.3980
Nd 0.0876 0.4596 0.8895
Nd 0.9117 0.1117 0.5412
Nd 0.6653 0.2674 0.8980
La 0.8287 0.6034 0.2318
La 0.0880 0.1270 0.1501
La 0.6349 0.6270 0.6501
La 0.3635 0.3494 0.3716
La 0.9154 0.8494 0.8716
La 0.3361 0.1034 0.7318

#two
## LaNdCl (PBE-GGA)

Data for a relaxed structure of LaNdCl.

Unit cell a=4.1546 b=4.1546 c=6.3557 alpha=90.00 beta=90.00 gamma=120.00
Sites, in units of the cell vectors:
Cl 0.6667 0.3333 0.3362
Nd 0.3333 0.6667 0.5939
La 0.0000 0.0000 0.0698

Least stable = #two

#one
## LaNi2Cl (PBE-GGA)

Data for a relaxed structure of LaNi2Cl.

Unit cell a=7.5585 b=7.5585 c=7.5585 alpha=30.81 beta=30.81 gamma=30.81
Sites, in units of the cell vectors:
Cl 0.4816 0.4816 0.4816
La 0.7300 0.7300 0.7300
Ni 0.9787 0.9787 0.9787
Ni 0.3097 0.3097 0.3097

#two
## LaNi2Cl (PBE-GGA)

Data for a relaxed structure of LaNi2Cl.

Unit cell a=5.2559 b=5.2559 c=4.9382 alpha=101.00 beta=101.00 gamma=41.15
Sites, in units of the cell vectors:
Cl 0.7500 0.7500 0.7500
La 0.2500 0.2500 0.2500
Ni 0.9448 0.9448 0.1192
Ni 0.5552 0.5552 0.3808

#three
## LaNi2Cl (PBE-GGA)

Data for a relaxed structure of LaNi2Cl.

Unit cell a=4.7266 b=4.7266 c=4.7266 alpha=120.03 beta=120.03 gamma=89.95
Site moments in Bohr magnetons follow the coordinates.
Sites, in units of the cell vectors:
Cl 0.5000 0.5000 0.0000  0.00
La 0.7500 0.2500 0.5000  -0.02
Ni 0.0000 0.0000 0.0000  -0.06
Ni 0.2500 0.7500 0.5000  0.39

Least stable = #three

#one
## LaNi2Cl (PBE-GGA)

Data for a relaxed structure of LaNi2Cl.

Unit cell a=7.4045 b=7.4045 c=5.9098 alpha=51.21 beta=51.21 gamma=90.00
Sites, in units of the cell vectors:
Ni 0.5881 0.1250 0.2500
Ni 0.1619 0.6250 0.2500
Ni 0.3750 0.4119 0.7500
Ni 0.8750 0.8381 0.7500
Cl 0.5000 0.5000 0.0000
Cl 0.2500 0.7500 0.5000
La 0.0000 0.0000 0.0000
La 0.7500 0.2500 0.5000

#two
## LaNi2Cl (PBE-GGA)

Data for a relaxed structure of LaNi2Cl.

Unit cell a=3.9049 b=3.9049 c=5.0636 alpha=90.00 beta=90.00 gamma=90.00
Site moments in Bohr magnetons follow the coordinates.
Sites, in units of the cell vectors:
Cl 0.5000 0.0000 0.5000  0.00
La 0.0000 0.5000 0.5000  -0.02
Ni 0.0000 0.0000 0.0000  0.18
Ni 0.5000 0.5000 0.0000  0.18

#three
## LaNi2Cl (PBE-GGA)

Data for a relaxed structure of LaNi2Cl.

Unit cell a=4.1552 b=3.7297 c=4.9110 alpha=90.10 beta=90.00 gamma=90.00
Sites, in units of the cell vectors:
Cl 0.5000 0.2500 0.2500
La 0.5000 0.7500 0.7500
Ni 0.0000 0.2512 0.9905
Ni 0.0000 0.2488 0.5095

#four
## LaNi2Cl (PBE-GGA)

Data for a relaxed structure of LaNi2Cl.

Unit cell a=5.7374 b=5.7374 c=5.7374 alpha=140.07 beta=140.07 gamma=57.74
Sites, in units of the cell vectors:
Cl 0.2500 0.7500 0.5000
La 0.7500 0.2500 0.5000
Ni 0.0000 0.0000 0.0000
Ni 0.5000 0.5000 0.0000

Least stable = #one

#one
## LaNiCl3 (PBE-GGA)

Data for a relaxed structure of LaNiCl3.

Unit cell a=4.6834 b=4.6834 c=4.6834 alpha=90.00 beta=90.00 gamma=90.00
Sites, in units of the cell vectors:
Ni 0.0000 0.0000 0.0000
Cl 0.0000 0.5000 0.0000
Cl 0.0000 0.0000 0.5000
Cl 0.5000 0.0000 0.0000
La 0.5000 0.5000 0.5000

#two
## LaNiCl3 (PBE-GGA)

Data for a relaxed structure of LaNiCl3.

Unit cell a=5.5300 b=5.5300 c=5.5300 alpha=90.00 beta=90.00 gamma=90.00
Site moments in Bohr magnetons follow the coordinates.
Sites, in units of the cell vectors:
Ni 0.5000 0.5000 0.5000  1.25
Cl 0.0000 0.5000 0.0000  0.03
Cl 0.0000 0.0000 0.5000  0.02
Cl 0.5000 0.0000 0.0000  0.02
La 0.0000 0.0000 0.0000  0.00

Least stable = #two

#one
## La3NiCl (PBE-GGA)

Data for a relaxed structure of La3NiCl.

Unit cell a=5.5439 b=5.5439 c=5.5439 alpha=90.00 beta=90.00 gamma=90.00
Sites, in units of the cell vectors:
Ni 0.0000 0.0000 0.0000
Cl 0.5000 0.5000 0.5000
La 0.0000 0.5000 0.0000
La 0.0000 0.0000 0.5000
La 0.5000 0.0000 0.0000

#two
## La3NiCl (PBE-GGA)

Data for a relaxed structure of La3NiCl.

Unit cell a=4.0061 b=6.6815 c=11.5778 alpha=90.00 beta=90.00 gamma=107.45
Sites, in units of the cell vectors:
La 0.0754 0.1508 0.7500
La 0.9246 0.8492 0.2500
La 0.3669 0.7337 0.5716
La 0.6331 0.2663 0.4284
La 0.6331 0.2663 0.0716
La 0.3669 0.7337 0.9284
Ni 0.0000 0.0000 0.5000
Ni 0.0000 0.0000 0.0000
Cl 0.2374 0.4748 0.2500
Cl 0.7626 0.5252 0.7500

Least stable = #one

#one
## LaNiP2Cl (PBE-GGA)

Data for a relaxed structure of LaNiP2Cl.

Unit cell a=4.4329 b=4.4329 c=4.9295 alpha=90.00 beta=90.00 gamma=90.00
Sites, in units of the cell vectors:
Ni 0.0000 0.0000 0.0000
Cl 0.0000 0.0000 0.5000
P 0.0000 0.5000 0.0000
P 0.5000 0.0000 0.0000
La 0.5000 0.5000 0.5000

#two
## LaNiP2Cl (PBE-GGA)

Data for a relaxed structure of LaNiP2Cl.

Unit cell a=5.6010 b=5.6010 c=5.3808 alpha=90.00 beta=90.00 gamma=90.00
Site moments in Bohr magnetons follow the coordinates.
Sites, in units of the cell vectors:
Ni 0.5000 0.5000 0.5000  1.05
Cl 0.0000 0.0000 0.5000  0.04
P 0.0000 0.5000 0.0000  0.20
P 0.5000 0.0000 0.0000  0.20
La 0.0000 0.0000 0.0000  0.04

Least stable = #two